A relaxed structure of HfSbTeI2, computed with GGA-PBE.

abc: 5.724 5.724 5.636
angles: 90.00 90.00 90.00
Sites, in units of the cell vectors:
I  0.500  0.000  0.000
I  0.000  0.500  0.000
Sb  0.500  0.500  0.500
Hf  0.000  0.000  0.000
Te  0.000  0.000  0.500

Properties
Raw formation energy = 0.071 eV/atom
Symmetry = P4/mmm